## 1
This record from Alexandria via LeMat-Bulk describes a geometry-optimized Pr2Nd3Tm7 structure. The functional is GGA-PBE.

Output
spin magnetization = 0.0 μB per cell

Unit cell a=6.3543 b=3.5330 c=17.5323 alpha=90.00 beta=96.27 gamma=90.00
Last column: nearest neighbours and their distance in Å.
Space group P2/m (No. 10)
Symmetry-distinct sites (fractional):
Pr 0.0530 0.0000 0.1748 x2  5 Tm 3.43-3.52, 2 Pr 3.53, 4 Nd 3.62-3.67
Nd 0.4560 0.5000 0.8411 x2  2 Nd 3.53, 7 Tm 3.62-3.74, 4 Pr 3.62-3.67
Nd 0.5000 0.0000 0.5000 x1  10 Tm 3.52-3.64, 2 Nd 3.53
Tm 0.0000 0.5000 0.5000 x1  8 Tm 3.49-3.53, 4 Nd 3.64
Tm 0.2247 0.0000 0.6635 x2  1 Pr 3.50, 3 Nd 3.52-3.74, 8 Tm 3.53-3.65
Tm 0.2545 0.0000 0.0008 x2  2 Tm 3.12-3.23, 2 Pr 3.43-3.46
Tm 0.2735 0.5000 0.3377 x2  7 Tm 3.49-3.65, 2 Pr 3.52, 3 Nd 3.52-3.74

---

## 2
This record from Alexandria via LeMat-Bulk describes a geometry-optimized Pr2Nd3Tm7 structure. The functional is GGA-PBE.

Output
spin magnetization = 0.0 μB per cell

Unit cell a=5.7052 b=38.2133 c=3.6095 alpha=90.00 beta=90.00 gamma=90.00
Last column: nearest neighbours and their distance in Å.
Space group Cmmm (No. 65)
Symmetry-distinct sites (fractional):
Pr 0.0000 0.1460 0.0000 x4  5 Tm 3.22-3.60
Nd 0.0000 0.3137 0.5000 x4  2 Nd 3.61, 6 Tm 3.67-3.77, 4 Pr 3.71
Nd 0.0000 0.5000 0.5000 x2  4 Tm 3.38, 2 Nd 3.61
Tm 0.0000 0.0000 0.0000 x2  6 Tm 3.24-3.61, 4 Nd 3.38
Tm 0.0000 0.0703 0.5000 x4  8 Tm 3.24-3.61, 2 Pr 3.41
Tm 0.0000 0.2302 0.0000 x4  1 Pr 3.22, 2 Tm 3.23
Tm 0.0000 0.4114 0.0000 x4  6 Tm 3.45-3.61, 2 Pr 3.60, 2 Nd 3.84

---

The least stable of them is 2.

---

## 1
This record from Alexandria via LeMat-Bulk describes a geometry-optimized PrNd3Tm structure. The functional is GGA-PBE.

Output
spin magnetization = 0.0 μB per cell

Unit cell a=6.3248 b=7.3031 c=8.1607 alpha=77.12 beta=75.08 gamma=72.96
Last column: nearest neighbours and their distance in Å.
Space group P-1 (No. 2)
Symmetry-distinct sites (fractional):
Pr 0.2006 0.0495 0.0998 x2  7 Nd 3.64-3.67, 2 Pr 3.64-3.65, 3 Tm 3.65-3.66
Nd 0.0025 0.2478 0.4994 x2  3 Tm 3.62-3.65, 7 Nd 3.63-3.68, 2 Pr 3.64-3.66
Nd 0.2029 0.5491 0.1010 x2  7 Nd 3.62-3.69, 2 Tm 3.64-3.67, 3 Pr 3.65-3.66
Nd 0.3997 0.3494 0.6972 x2  3 Tm 3.62-3.67, 7 Nd 3.63-3.67, 2 Pr 3.65-3.67
Tm 0.4003 0.8514 0.6983 x2  8 Nd 3.62-3.67, 1 Tm 3.63, 3 Pr 3.65-3.66

---

## 2
This record from Alexandria via LeMat-Bulk describes a geometry-optimized PrNd3Tm structure. The functional is GGA-PBE.

Output
spin magnetization = 0.0 μB per cell

Unit cell a=8.1769 b=14.1087 c=6.2262 alpha=90.00 beta=90.00 gamma=90.00
Last column: nearest neighbours and their distance in Å.
Space group Cmcm (No. 63)
Symmetry-distinct sites (fractional):
Pr 0.0000 0.2014 0.2500 x4  4 Nd 3.24-3.25
Nd 0.0000 0.0000 0.0000 x4  6 Nd 3.11-3.24, 2 Pr 3.24
Nd 0.1979 0.4008 0.2500 x8  3 Nd 3.24, 1 Pr 3.25
Tm 0.0000 0.3353 0.7500 x4  6 Nd 3.63-4.06, 2 Pr 3.64

---

The least stable of them is 2.

---

## 1
This record from Alexandria via LeMat-Bulk describes a geometry-optimized PrNd2Tm3 structure. The functional is GGA-PBE.

Output
spin magnetization = 0.0 μB per cell

Unit cell a=9.0035 b=9.8661 c=9.0238 alpha=90.00 beta=101.73 gamma=90.00
Last column: nearest neighbours and their distance in Å.
Space group C2/c (No. 15)
Symmetry-distinct sites (fractional):
Pr 0.0000 0.0852 0.2500 x4  5 Tm 3.29-3.50
Nd 0.1229 0.2538 0.6264 x8  2 Nd 3.45-3.55, 9 Tm 3.66-3.78, 3 Pr 3.71-3.76
Tm 0.0000 0.4188 0.2500 x4  4 Tm 3.28-3.49, 1 Pr 3.29, 2 Nd 3.66
Tm 0.2503 0.0839 0.9991 x8  3 Tm 3.28-3.49, 2 Pr 3.29-3.50

---

## 2
This record from Alexandria via LeMat-Bulk describes a geometry-optimized PrNd2Tm3 structure. The functional is GGA-PBE.

Output
spin magnetization = 0.0 μB per cell

Unit cell a=9.5231 b=13.1960 c=6.3907 alpha=90.00 beta=90.00 gamma=90.00
Last column: nearest neighbours and their distance in Å.
Space group Cmc2_1 (No. 36)
Symmetry-distinct sites (fractional):
Pr 0.0000 0.1735 0.0000 x4  7 Tm 3.19-3.55
Nd 0.1802 0.4433 0.2239 x8  4 Tm 3.36-3.52, 3 Nd 3.43-3.53
Tm 0.0000 0.0835 0.4766 x4  3 Pr 3.27-3.55, 2 Nd 3.45, 2 Tm 3.61
Tm 0.1814 0.3030 0.6767 x8  2 Pr 3.19-3.25, 3 Nd 3.36-3.52, 1 Tm 3.45

---

The least stable of them is 2.

---

## 1
This record from Alexandria via LeMat-Bulk describes a geometry-optimized Pr3NdTm3 structure. The functional is GGA-PBE.

Output
spin magnetization = 0.0 μB per cell

Unit cell a=9.7027 b=9.7027 c=5.7903 alpha=90.00 beta=90.00 gamma=120.00
Last column: nearest neighbours and their distance in Å.
Space group P6_3/m (No. 176)
Symmetry-distinct sites (fractional):
Pr 0.0512 0.8069 0.2500 x6  5 Tm 3.58-3.72, 6 Pr 3.62-3.75, 1 Nd 3.62
Nd 0.3333 0.6667 0.2500 x2  9 Tm 3.58-3.67, 3 Pr 3.62
Tm 0.0959 0.6153 0.7500 x6  4 Tm 3.56-3.64, 3 Nd 3.58-3.67, 5 Pr 3.58-3.72

---

## 2
This record from Alexandria via LeMat-Bulk describes a geometry-optimized Pr3NdTm3 structure. The functional is GGA-PBE.

Output
spin magnetization = 0.0 μB per cell

Unit cell a=9.4162 b=9.4162 c=18.7294 alpha=90.00 beta=90.00 gamma=120.00
Last column: nearest neighbours and their distance in Å.
Space group R-3 (No. 148, hexagonal axes)
Symmetry-distinct sites (fractional):
Pr 0.0493 0.8076 0.0773 x18  5 Tm 3.43-3.59, 1 Nd 3.53, 4 Pr 3.57-3.61
Nd 0.0000 0.0000 0.4086 x6  1 Nd 3.43, 6 Tm 3.44-3.58, 3 Pr 3.53
Tm 0.0492 0.8140 0.2602 x18  3 Tm 3.42-3.50, 5 Pr 3.43-3.59, 2 Nd 3.44-3.58

---

The least stable of them is 2.

---

## 1
This record from Alexandria via LeMat-Bulk describes a geometry-optimized Pr4Nd3Tm5 structure. The functional is GGA-PBE.

Output
spin magnetization = 0.0 μB per cell

Unit cell a=16.1516 b=6.0097 c=9.4660 alpha=90.00 beta=116.94 gamma=90.00
Last column: nearest neighbours and their distance in Å.
Space group C2/m (No. 12)
Symmetry-distinct sites (fractional):
Pr 0.0869 0.0000 0.4501 x4  2 Pr 3.34-3.69, 1 Nd 3.44, 3 Tm 3.48-3.52
Pr 0.2113 0.0000 0.8871 x4  3 Nd 3.34-3.64, 3 Pr 3.57-3.69, 2 Tm 3.71
Nd 0.0000 0.5000 0.0000 x2  2 Tm 3.00
Nd 0.2154 0.0000 0.2432 x4  5 Tm 3.19-3.47, 2 Pr 3.34-3.44
Tm 0.0000 0.0000 0.0000 x2  4 Nd 3.00-3.19
Tm 0.0684 0.5000 0.6992 x4  2 Nd 3.28-3.49, 2 Tm 3.40-3.57
Tm 0.1692 0.5000 0.3777 x4  4 Nd 3.21-3.47, 3 Pr 3.48-3.52, 1 Tm 3.57

---

## 2
This record from Alexandria via LeMat-Bulk describes a geometry-optimized Pr4Nd3Tm5 structure. The functional is GGA-PBE.

Output
spin magnetization = 0.0 μB per cell

Unit cell a=6.2623 b=7.2095 c=8.8438 alpha=89.69 beta=89.91 gamma=89.83
Last column: nearest neighbours and their distance in Å.
Space group P-1 (No. 2)
Symmetry-distinct sites (fractional):
Pr 0.1651 0.2485 0.3343 x2  7 Tm 3.57-3.64, 3 Pr 3.58-3.65, 2 Nd 3.62-3.64
Pr 0.3293 0.5001 0.6668 x2  4 Pr 3.58-3.65, 6 Tm 3.59-3.63, 2 Nd 3.61-3.64
Nd 0.0000 0.0000 0.0000 x1  4 Nd 3.58-3.63, 6 Tm 3.60-3.63, 2 Pr 3.62
Nd 0.4965 0.7518 0.0012 x2  4 Nd 3.58-3.63, 5 Tm 3.58-3.63, 3 Pr 3.61-3.64
Tm 0.0000 0.5000 0.0000 x1  4 Pr 3.59-3.61, 6 Nd 3.60-3.63, 2 Tm 3.64
Tm 0.1685 0.7529 0.3338 x2  6 Pr 3.57-3.64, 4 Tm 3.58-3.64, 2 Nd 3.58-3.60
Tm 0.3357 0.0005 0.6647 x2  4 Tm 3.56-3.62, 5 Pr 3.58-3.62, 3 Nd 3.61-3.63

---

The least stable of them is 1.

---

## 1
This record from Alexandria via LeMat-Bulk describes a geometry-optimized PrNd6Tm12 structure. The functional is GGA-PBE.

Output
spin magnetization = 0.0 μB per cell

Unit cell a=13.1994 b=13.1994 c=12.5814 alpha=90.00 beta=90.00 gamma=120.00
Last column: nearest neighbours and their distance in Å.
Space group R-3m (No. 166, hexagonal axes)
Symmetry-distinct sites (fractional):
Pr 0.0000 0.0000 0.0000 x3  6 Nd 3.47
Nd 0.0349 0.5175 0.6183 x18  1 Nd 3.08, 2 Tm 3.44
Tm 0.0000 0.2555 0.5000 x18  6 Tm 3.33-3.52, 4 Nd 3.44-3.58
Tm 0.0916 0.1832 0.2634 x18  6 Tm 3.33-3.63, 2 Nd 3.66

---

## 2
This record from Alexandria via LeMat-Bulk describes a geometry-optimized PrNd6Tm12 structure. The functional is GGA-PBE.

Output
spin magnetization = 0.0 μB per cell

Unit cell a=11.0414 b=11.0414 c=17.4143 alpha=90.00 beta=90.00 gamma=120.00
Last column: nearest neighbours and their distance in Å.
Space group R-3m (No. 166, hexagonal axes)
Symmetry-distinct sites (fractional):
Pr 0.0000 0.0000 0.0000 x3  6 Nd 3.07
Nd 0.0684 0.5342 0.7662 x18  1 Pr 3.07, 3 Tm 3.31-3.36
Tm 0.1053 0.5527 0.4145 x18  7 Tm 3.44-3.78, 5 Nd 3.56-3.67
Tm 0.1061 0.2122 0.4083 x18  3 Nd 3.31-3.36, 5 Tm 3.44-3.51

---

The least stable of them is 1.

---

## 1
This record from Alexandria via LeMat-Bulk describes a geometry-optimized Pr8NdTm2 structure. The functional is GGA-PBE.

Output
spin magnetization = 0.0 μB per cell

Unit cell a=5.7403 b=8.3932 c=16.2012 alpha=90.00 beta=90.00 gamma=90.00
Last column: nearest neighbours and their distance in Å.
Space group Immm (No. 71)
Symmetry-distinct sites (fractional):
Pr 0.0000 0.0000 0.1635 x4  2 Tm 3.62, 8 Pr 3.63-3.82, 2 Nd 3.91
Pr 0.0000 0.2037 0.3614 x8  1 Nd 3.35, 4 Pr 3.42-3.64, 3 Tm 3.49-3.61
Pr 0.0000 0.2949 0.0000 x4  7 Pr 3.44-3.64, 2 Tm 3.67, 2 Nd 3.79
Nd 0.0000 0.5000 0.5000 x2  4 Pr 3.35
Tm 0.0000 0.5000 0.1999 x4  10 Pr 3.49-3.67

---

## 2
This record from Alexandria via LeMat-Bulk describes a geometry-optimized Pr8NdTm2 structure. The functional is GGA-PBE.

Output
spin magnetization = 0.0 μB per cell

Unit cell a=17.1659 b=6.8438 c=6.7299 alpha=90.00 beta=99.58 gamma=90.00
Last column: nearest neighbours and their distance in Å.
Space group C2/m (No. 12)
Symmetry-distinct sites (fractional):
Pr 0.0877 0.2395 0.4111 x8  5 Pr 3.28-3.57, 1 Nd 3.42, 1 Tm 3.51
Pr 0.0968 0.0000 0.9182 x4  6 Pr 3.38-3.77, 1 Tm 3.68
Pr 0.2451 0.5000 0.3218 x4  5 Pr 3.37-3.53, 4 Tm 3.41-3.70
Nd 0.0000 0.5000 0.0000 x2  4 Pr 3.42
Tm 0.1986 0.5000 0.8094 x4  7 Pr 3.41-3.70

---

The least stable of them is 2.

---

## 1
This record from Alexandria via LeMat-Bulk describes a geometry-optimized Pr2Nd7Tm2 structure. The functional is GGA-PBE.

Output
spin magnetization = 0.0 μB per cell

Unit cell a=8.9866 b=15.4760 c=11.3640 alpha=90.00 beta=104.71 gamma=90.00
Last column: nearest neighbours and their distance in Å.
Space group C2/c (No. 15)
Symmetry-distinct sites (fractional):
Pr 0.2129 0.1313 0.4850 x8  2 Tm 3.37-3.46, 6 Nd 3.40-3.73, 1 Pr 3.73
Nd 0.0000 0.0838 0.7500 x4  8 Nd 3.57-3.76, 2 Tm 3.62
Nd 0.0509 0.2866 0.9259 x8  4 Nd 3.40-3.74, 3 Tm 3.49-3.55, 2 Pr 3.51-3.69
Nd 0.0853 0.4745 0.1375 x8  2 Nd 3.21-3.30, 1 Tm 3.41, 1 Pr 3.52
Nd 0.1644 0.0723 0.0890 x8  4 Nd 3.40-3.76, 2 Pr 3.40-3.43, 1 Tm 3.50
Tm 0.1823 0.2704 0.2414 x8  1 Tm 3.33, 2 Pr 3.37-3.46, 6 Nd 3.41-3.62

---

## 2
This record from Alexandria via LeMat-Bulk describes a geometry-optimized Pr2Nd7Tm2 structure. The functional is GGA-PBE.

Output
spin magnetization = 0.0 μB per cell

Unit cell a=9.8380 b=9.4540 c=8.5989 alpha=90.00 beta=103.70 gamma=90.00
Last column: nearest neighbours and their distance in Å.
Space group C2/m (No. 12)
Symmetry-distinct sites (fractional):
Pr 0.0982 0.0000 0.3461 x4  7 Nd 3.19-3.49
Nd 0.0000 0.5000 0.5000 x2  4 Nd 3.60, 2 Pr 3.86
Nd 0.1982 0.0000 0.0193 x4  1 Pr 3.19, 2 Nd 3.45, 4 Tm 3.50-3.51
Nd 0.2018 0.2021 0.6869 x8  3 Pr 3.44-3.49, 5 Nd 3.45-3.82, 2 Tm 3.48-3.84
Tm 0.0000 0.3096 0.0000 x4  8 Nd 3.48-3.84, 1 Tm 3.60

---

The least stable of them is 2.

---

## 1
This record from Alexandria via LeMat-Bulk describes a geometry-optimized Pr12Nd5Tm2 structure. The functional is GGA-PBE.

Output
spin magnetization = 0.0 μB per cell

Unit cell a=15.5249 b=10.8142 c=8.1457 alpha=90.00 beta=93.57 gamma=90.00
Last column: nearest neighbours and their distance in Å.
Space group C2/m (No. 12)
Symmetry-distinct sites (fractional):
Pr 0.0522 0.0000 0.2100 x4  3 Nd 3.40-3.73, 7 Pr 3.51-3.72, 2 Tm 3.55
Pr 0.1063 0.2250 0.8859 x8  1 Tm 3.46, 5 Pr 3.50-3.81, 4 Nd 3.52-3.69
Pr 0.1274 0.5000 0.5997 x4  2 Nd 3.47-3.76, 2 Tm 3.60, 4 Pr 3.64-3.81
Pr 0.1850 0.2745 0.2928 x8  1 Tm 3.45, 5 Pr 3.50-3.86, 3 Nd 3.55-3.86
Nd 0.0000 0.5000 0.0000 x2  6 Pr 3.55-3.92, 2 Nd 3.76
Nd 0.1574 0.0000 0.5885 x4  7 Pr 3.40-3.76, 2 Tm 3.53, 1 Nd 3.76
Nd 0.2415 0.5000 0.9796 x4  8 Pr 3.47-3.69, 2 Nd 3.76
Tm 0.0000 0.2295 0.5000 x4  8 Pr 3.45-3.60, 2 Nd 3.53

---

## 2
This record from Alexandria via LeMat-Bulk describes a geometry-optimized Pr12Nd5Tm2 structure. The functional is GGA-PBE.

Output
spin magnetization = 0.0 μB per cell

Unit cell a=19.4238 b=7.5786 c=10.2570 alpha=90.00 beta=115.46 gamma=90.00
Last column: nearest neighbours and their distance in Å.
Space group C2/m (No. 12)
Symmetry-distinct sites (fractional):
Pr 0.0077 0.0000 0.3243 x4  5 Pr 3.44-3.74, 2 Tm 3.61
Pr 0.0088 0.5000 0.2163 x4  1 Nd 2.99, 2 Tm 3.12
Pr 0.1593 0.2503 0.8512 x8  6 Pr 3.51-3.79, 4 Nd 3.67-3.92
Pr 0.1662 0.2588 0.5022 x8  4 Pr 3.28-3.66
Nd 0.0000 0.5000 0.5000 x2  2 Pr 2.99
Nd 0.1750 0.5000 0.1698 x4  5 Pr 3.46-3.82, 2 Nd 3.80, 2 Tm 3.82
Nd 0.1763 0.0000 0.1975 x4  2 Tm 3.49, 4 Pr 3.75-3.76, 2 Nd 3.80
Tm 0.0000 0.2022 0.0000 x4  1 Tm 3.06, 2 Pr 3.12

---

The least stable of them is 2.